Record 1
Compound: Tb5CeTl6
Source: the Alexandria database
Functional: GGA-PBE
Structure: optimized geometry

The structure in POSCAR format:
```
Tb5CeTl6
1.0
6.5973 0.1627 0.0000
1.9226 9.7191 0.0000
0.9613 4.8595 5.6590
Tl Ce Tb
6 1 5
Direct
0.7457 0.4230 0.6593 Tl
0.2557 0.2522 0.0000 Tl
0.2543 0.5770 0.3407 Tl
0.7443 0.7478 0.0000 Tl
0.2543 0.9177 0.6593 Tl
0.7457 0.0823 0.3407 Tl
0.0000 0.0000 0.0000 Ce
0.0000 0.6664 0.6672 Tb
0.5000 0.8361 0.3279 Tb
0.0000 0.3336 0.3328 Tb
0.5000 0.5000 0.0000 Tb
0.5000 0.1639 0.6721 Tb
```

Properties
- ΔE to the lowest computed polymorph: 105 meV per atom
- Energy of formation: -0.22 eV/atom


Record 2
Compound: Tb2CeTl9
Source: the Alexandria database
Functional: GGA-PBE
Structure: optimized geometry

The structure in POSCAR format:
```
Tb2CeTl9
1.0
-1.9932 -3.9291 -1.8947
0.5824 -2.3041 4.1655
-12.9547 4.4985 4.2994
Tl Ce Tb
9 1 2
Direct
0.5000 0.5000 0.0000 Tl
0.0000 0.5000 0.5000 Tl
0.0000 0.5000 0.8309 Tl
0.5000 0.5000 0.6662 Tl
0.5000 0.0000 0.5000 Tl
0.0000 0.5000 0.1691 Tl
0.5000 0.0000 0.8309 Tl
0.5000 0.0000 0.1691 Tl
0.5000 0.5000 0.3338 Tl
0.0000 0.0000 0.0000 Ce
0.0000 0.0000 0.3353 Tb
0.0000 0.0000 0.6647 Tb
```

Properties
- Energy of formation: -0.25 eV/atom


Taking the records one at a time from the top gives D(E_F) values of 15.69; 9.20 states/eV per cell.